GdGaPb2 after structural relaxation, computed with PBE-GGA.

Cell lengths 11.1380, 11.1380, 11.1380 Å; angles 18.39, 18.39, 18.39 degrees
Closest atoms and distances in Å follow each position.
Fractional coordinates of all 4 atoms:
Gd1 0.0000 0.0000 0.0000  2 Pb 3.18
Ga1 0.5000 0.5000 0.5000  6 Pb 3.08
Pb1 0.0967 0.0967 0.0967  3 Ga 3.08, 1 Gd 3.18
Pb2 0.9033 0.9033 0.9033  3 Ga 3.08, 1 Gd 3.18



CrCuRh after structural relaxation, computed with PBE-GGA.

Cell lengths 4.5201, 4.5201, 4.5201 Å; angles 145.59, 132.68, 59.80 degrees
Closest atoms and distances in Å follow each position.
Fractional coordinates of all 3 atoms:
Cr1 0.0000 0.0000 0.0000  5 Rh 2.58-2.66, 5 Cu 2.61, 2 Cr 2.67
Cu1 0.6668 0.6668 0.0000  5 Rh 2.57-2.63, 5 Cr 2.61, 2 Cu 2.67
Rh1 0.3388 0.3388 0.0000  5 Cu 2.57-2.63, 5 Cr 2.58-2.66, 2 Rh 2.67



E values (in eV per atom) by entry order: -6.01; -6.98.